## i
# CaCr2Ag SCAN single point on PBEsol structure
data_CaCr2Ag
_chemical_formula_sum 'Ca2 Cr4 Ag2'
_cell_length_a 9.9392
_cell_length_b 2.9841
_cell_length_c 5.1523
_cell_angle_alpha 90.00
_cell_angle_beta 103.81
_cell_angle_gamma 90.00
_symmetry_space_group_name_H-M 'C 1 2/m 1'
_symmetry_Int_Tables_number 12
loop_
_symmetry_equiv_pos_as_xyz
'x,y,z'
'-x,-y,-z'
'-x,y,-z'
'x,-y,z'
'x+1/2,y+1/2,z'
'-x+1/2,-y+1/2,-z'
'-x+1/2,y+1/2,-z'
'x+1/2,-y+1/2,z'
loop_
_atom_site_label
_atom_site_fract_x
_atom_site_fract_y
_atom_site_fract_z
Ca1 0.0000 0.0000 0.0000
Cr1 0.2304 0.0000 0.6281
Ag1 0.0000 0.5000 0.5000
# Fermi-level density of states   3.7 states/eV/f.u.
# Crystal system   monoclinic
# Calculated volume   18.5 A^3/atom

## ii
# CaCr2Ag SCAN single point on PBEsol structure
data_CaCr2Ag
_chemical_formula_sum 'Ca1 Cr2 Ag1'
_cell_length_a 3.7087
_cell_length_b 3.7087
_cell_length_c 4.7065
_cell_angle_alpha 90.00
_cell_angle_beta 90.00
_cell_angle_gamma 90.00
_symmetry_space_group_name_H-M 'P 4/m m m'
_symmetry_Int_Tables_number 123
_symmetry_space_group_name_Hall '-P 4 2'
loop_
_atom_site_label
_atom_site_fract_x
_atom_site_fract_y
_atom_site_fract_z
Ca1 0.0000 0.0000 0.0000
Cr1 0.0000 0.5000 0.5000
Ag1 0.5000 0.5000 0.0000
# Fermi-level density of states   4.2 states/eV/f.u.
# Crystal system   tetragonal
# Calculated volume   16.2 A^3/atom

## iii
# CaCr2Ag SCAN single point on PBEsol structure
data_CaCr2Ag
_chemical_formula_sum 'Ca1 Cr2 Ag1'
_cell_length_a 3.5457
_cell_length_b 3.5457
_cell_length_c 6.1874
_cell_angle_alpha 90.00
_cell_angle_beta 90.00
_cell_angle_gamma 90.00
_symmetry_space_group_name_H-M 'P 4/m m m'
_symmetry_Int_Tables_number 123
_symmetry_space_group_name_Hall '-P 4 2'
loop_
_atom_site_label
_atom_site_fract_x
_atom_site_fract_y
_atom_site_fract_z
Ca1 0.0000 0.0000 0.0000
Cr1 0.5000 0.5000 0.3523
Ag1 0.0000 0.0000 0.5000
# Fermi-level density of states   3.6 states/eV/f.u.
# Crystal system   tetragonal
# Calculated volume   19.4 A^3/atom

## iv
# CaCr2Ag SCAN single point on PBEsol structure
data_CaCr2Ag
_chemical_formula_sum 'Ca4 Cr8 Ag4'
_cell_length_a 6.6719
_cell_length_b 6.6719
_cell_length_c 6.6719
_cell_angle_alpha 90.00
_cell_angle_beta 90.00
_cell_angle_gamma 90.00
_symmetry_space_group_name_H-M 'F -4 3 m'
_symmetry_Int_Tables_number 216
_symmetry_space_group_name_Hall 'F -4 2 3'
loop_
_atom_site_label
_atom_site_fract_x
_atom_site_fract_y
_atom_site_fract_z
Ca1 0.0000 0.0000 0.0000
Cr1 0.0000 0.0000 0.5000
Cr2 0.2500 0.2500 0.7500
Ag1 0.2500 0.2500 0.2500
# Fermi-level density of states   2.6 states/eV/f.u.
# Crystal system   cubic
# Calculated volume   18.6 A^3/atom

Stability verdict: iv, ahead by 0.545 eV/atom

## i
# Ca2CrAg SCAN single point on PBEsol structure
data_Ca2CrAg
_chemical_formula_sum 'Ca6 Cr3 Ag3'
_cell_length_a 3.6545
_cell_length_b 3.6545
_cell_length_c 27.8992
_cell_angle_alpha 90.00
_cell_angle_beta 90.00
_cell_angle_gamma 120.00
_symmetry_space_group_name_H-M 'R -3 m'
_symmetry_Int_Tables_number 166
_symmetry_space_group_name_Hall '-R 3 2"'
loop_
_atom_site_label
_atom_site_fract_x
_atom_site_fract_y
_atom_site_fract_z
Ca1 0.0000 0.0000 0.2455
Cr1 0.0000 0.0000 0.0000
Ag1 0.0000 0.0000 0.5000
# Fermi-level density of states   2.7 states/eV/f.u.
# Crystal system   trigonal
# Calculated volume   26.9 A^3/atom

## ii
# Ca2CrAg SCAN single point on PBEsol structure
data_Ca2CrAg
_chemical_formula_sum 'Ca2 Cr1 Ag1'
_cell_length_a 3.5900
_cell_length_b 3.5900
_cell_length_c 8.0877
_cell_angle_alpha 90.00
_cell_angle_beta 90.00
_cell_angle_gamma 90.00
_symmetry_space_group_name_H-M 'P 4 m m'
_symmetry_Int_Tables_number 99
loop_
_symmetry_equiv_pos_as_xyz
'x,y,z'
'-y,x,z'
'-x,-y,z'
'y,-x,z'
'-x,y,z'
'y,x,z'
'x,-y,z'
'-y,-x,z'
loop_
_atom_site_label
_atom_site_fract_x
_atom_site_fract_y
_atom_site_fract_z
Ca1 0.0000 0.0000 0.0000
Ca2 0.5000 0.5000 0.3713
Cr1 0.0000 0.0000 0.6198
Ag1 0.5000 0.5000 0.7640
# Fermi-level density of states   3.0 states/eV/f.u.
# Crystal system   tetragonal
# Calculated volume   26.1 A^3/atom

Stability verdict: ii, ahead by 0.205 eV/atom